Here is a geometry-optimized DyGaPd structure from the Open Quantum Materials Database. Energies are from GGA-PBE.

POSCAR file:
```
DyGaPd
1.0
6.9452 0.0000 0.0000
0.0000 4.4673 0.0000
0.0000 0.0000 7.6661
Dy Ga Pd
4 4 4
Cartesian
0.1290 1.1168 1.5153 Dy
3.3436 3.3505 5.3484 Dy
3.6016 1.1168 2.3177 Dy
6.8162 3.3505 6.1507 Dy
1.2120 1.1168 4.4121 Ga
2.2606 3.3505 0.5790 Ga
4.6846 1.1168 7.0870 Ga
5.7332 3.3505 3.2540 Ga
1.5240 3.3505 3.0895 Pd
1.9486 1.1168 6.9226 Pd
4.9966 3.3505 0.7435 Pd
5.4212 1.1168 4.5765 Pd
```

## Properties
V = 19.82 Å³/atom
final energy = -5.170 eV per atom